DFT (PBEsol) results for a relaxed structure of ZrP2H6O10.

Results
Spin magnetization   0.0 μB per formula unit
Total DFT energy (no corrections)   -0.4996 Ry/atom

abc: 5.400 6.634 12.218
angles: 90.00 102.55 90.00
Element x y z (fractional)
Zr1 0.177 0.000 0.369
Zr2 0.823 0.500 0.631
P1 0.239 0.500 0.441
P2 0.398 0.397 0.806
P3 0.602 0.897 0.194
P4 0.761 0.000 0.559
H1 0.024 0.404 0.896
H2 0.079 0.351 0.028
H3 0.102 0.598 0.119
H4 0.154 0.429 0.218
H5 0.309 0.903 0.046
H6 0.464 0.581 0.187
H7 0.536 0.081 0.813
H8 0.691 0.403 0.954
H9 0.846 0.929 0.782
H10 0.898 0.098 0.881
H11 0.921 0.851 0.972
H12 0.976 0.904 0.104
O1 0.039 0.823 0.046
O2 0.077 0.496 0.530
O3 0.127 0.484 0.777
O4 0.176 0.317 0.362
O5 0.179 0.690 0.369
O6 0.203 0.475 0.148
O7 0.372 0.165 0.788
O8 0.424 0.991 0.262
O9 0.478 0.998 0.502
O10 0.497 0.946 0.067
O11 0.503 0.446 0.933
O12 0.522 0.498 0.498
O13 0.576 0.491 0.738
O14 0.628 0.665 0.212
O15 0.797 0.975 0.852
O16 0.821 0.190 0.631
O17 0.824 0.817 0.638
O18 0.873 0.984 0.223
O19 0.923 0.996 0.470
O20 0.961 0.323 0.954